1.
# NdMgTl2 | Alexandria via LeMat-Bulk | PBE-GGA | relaxed
data_NdMgTl2
_chemical_formula_sum 'Nd1 Mg1 Tl2'
_cell_length_a 7.7513
_cell_length_b 7.7513
_cell_length_c 7.7513
_cell_angle_alpha 32.83
_cell_angle_beta 32.83
_cell_angle_gamma 32.83
_space_group_name_H-M_alt 'P 1'
_space_group_IT_number 1
_space_group_name_Hall 'P 1'
loop_
_atom_site_label
_atom_site_type_symbol
_atom_site_fract_x
_atom_site_fract_y
_atom_site_fract_z
_atom_site_occupancy
Nd1 Nd 0.0000 0.0000 0.0000 1
Mg1 Mg 0.1724 0.1724 0.1724 1
Tl1 Tl 0.4298 0.4298 0.4298 1
Tl2 Tl 0.5758 0.5758 0.5758 1
# **Formation energy from the elements**: -0.23 eV per formula unit
# **Energy above the lowest structure with this stoichiometry**: 248 meV/atom
# **Density of states at the Fermi level**: 0.833 states/eV per atom
# **Calculated density**: 7.87 Mg/m³
# **Total energy**: -11.3 eV per formula unit

---

2.
# LaNd4Cd5 | Alexandria via LeMat-Bulk | PBE-GGA | relaxed
data_LaNd4Cd5
_chemical_formula_sum 'La1 Nd4 Cd5'
_cell_length_a 3.8677
_cell_length_b 3.8677
_cell_length_c 19.4224
_cell_angle_alpha 90.00
_cell_angle_beta 90.00
_cell_angle_gamma 90.00
_space_group_name_H-M_alt 'P 1'
_space_group_IT_number 1
_space_group_name_Hall 'P 1'
loop_
_atom_site_label
_atom_site_type_symbol
_atom_site_fract_x
_atom_site_fract_y
_atom_site_fract_z
_atom_site_occupancy
La1 La 0.0000 0.0000 0.0000 1
Nd1 Nd 0.0000 0.0000 0.2032 1
Nd2 Nd 0.0000 0.0000 0.4012 1
Nd3 Nd 0.0000 0.0000 0.5988 1
Nd4 Nd 0.0000 0.0000 0.7968 1
Cd1 Cd 0.5000 0.5000 0.1052 1
Cd2 Cd 0.5000 0.5000 0.3020 1
Cd3 Cd 0.5000 0.5000 0.5000 1
Cd4 Cd 0.5000 0.5000 0.6980 1
Cd5 Cd 0.5000 0.5000 0.8948 1
# **Formation energy from the elements**: -3.19 eV per formula unit
# **Density of states at the Fermi level**: 1.243 states/eV per atom
# **Calculated density**: 7.30 Mg/m³
# **Total energy**: -31.8 eV per formula unit

---

3.
# Cd2FePOs | Alexandria via LeMat-Bulk | PBE-GGA | relaxed
data_Cd2FePOs
_chemical_formula_sum 'Cd2 Fe1 P1 Os1'
_cell_length_a 4.9509
_cell_length_b 4.9509
_cell_length_c 4.0308
_cell_angle_alpha 90.00
_cell_angle_beta 90.00
_cell_angle_gamma 90.00
_space_group_name_H-M_alt 'P 1'
_space_group_IT_number 1
_space_group_name_Hall 'P 1'
loop_
_atom_site_label
_atom_site_type_symbol
_atom_site_fract_x
_atom_site_fract_y
_atom_site_fract_z
_atom_site_occupancy
Cd1 Cd 0.0000 0.5000 0.0000 1
Cd2 Cd 0.5000 0.0000 0.0000 1
Fe1 Fe 0.0000 0.0000 0.0000 1
P1 P 0.0000 0.0000 0.5000 1
Os1 Os 0.5000 0.5000 0.5000 1
# **Formation energy from the elements**: 5.69 eV per formula unit
# **Density of states at the Fermi level**: 0.372 states/eV per atom
# **Calculated density**: 8.43 Mg/m³
# **Total energy**: -21.2 eV per formula unit

---

4.
# Ca3SnW | Alexandria via LeMat-Bulk | PBE-GGA | relaxed
data_Ca3SnW
_chemical_formula_sum 'Ca3 Sn1 W1'
_cell_length_a 5.8801
_cell_length_b 5.8801
_cell_length_c 5.8801
_cell_angle_alpha 90.00
_cell_angle_beta 90.00
_cell_angle_gamma 90.00
_space_group_name_H-M_alt 'P 1'
_space_group_IT_number 1
_space_group_name_Hall 'P 1'
loop_
_atom_site_label
_atom_site_type_symbol
_atom_site_fract_x
_atom_site_fract_y
_atom_site_fract_z
_atom_site_occupancy
Ca1 Ca 0.0000 0.0000 0.5000 1
Ca2 Ca 0.0000 0.5000 0.0000 1
Ca3 Ca 0.5000 0.0000 0.0000 1
Sn1 Sn 0.0000 0.0000 0.0000 1
W1 W 0.5000 0.5000 0.5000 1
# **Formation energy from the elements**: 5.10 eV per formula unit
# **Energy above the lowest structure with this stoichiometry**: 122 meV/atom
# **Density of states at the Fermi level**: 0.528 states/eV per atom
# **Calculated density**: 3.45 Mg/m³
# **Total energy**: -17.9 eV per formula unit